1) Density functional theory data (PBE-GGA) for a relaxed LaCrP2 crystal.

Unit cell a=4.854 b=4.854 c=14.468 alpha=90.00 beta=90.00 gamma=90.00
Space group I-42d (No. 122)
Unique sites:
La  0.000  0.000  0.000 x4
Cr  0.000  0.000  0.500 x4
P  0.003  0.250  0.625 x8

Properties
Its volume is 21.3 Å³ per atom. For the density, the calculation gives 4.927 g/cm³.


2) Density functional theory data (PBE-GGA) for a relaxed LaCrP2 crystal.

Unit cell a=6.579 b=6.579 c=6.579 alpha=90.00 beta=90.00 gamma=90.00
Space group Fm-3m (No. 225)
Unique sites:
La  0.000  0.000  0.000 x4
Cr  0.000  0.000  0.500 x4
P  0.250  0.250  0.250 x8

Properties
Its volume is 17.8 Å³ per atom. For the density, the calculation gives 5.898 g/cm³.


1) is the most stable structure; the next one sits 389 meV/atom above it.


1) Density functional theory data (PBE-GGA) for a relaxed LaCrP2 crystal.

Unit cell a=3.872 b=4.251 c=5.156 alpha=90.00 beta=90.00 gamma=90.00
Space group Pmmm (No. 47)
Unique sites:
La  0.000  0.000  0.000 x1
Cr  0.000  0.500  0.500 x1
P  0.500  0.500  0.223 x2

Properties
Its volume is 21.2 Å³ per atom. For the density, the calculation gives 4.947 g/cm³.


2) Density functional theory data (PBE-GGA) for a relaxed LaCrP2 crystal.

Unit cell a=4.043 b=4.043 c=9.984 alpha=90.00 beta=90.00 gamma=90.00
Space group I-4m2 (No. 119)
Unique sites:
La  0.000  0.000  0.000 x2
Cr  0.000  0.500  0.250 x2
P  0.000  0.000  0.500 x2
P  0.000  0.500  0.750 x2

Properties
Its volume is 20.4 Å³ per atom. For the density, the calculation gives 5.146 g/cm³.


1) is the most stable structure; the next one sits 385 meV/atom above it.